Compound: Ba2BiPd6Pb
Source: the Alexandria database
Functional: PBE
Structure: relaxed

- formation energy (eV per atom) = -0.452
- magnetic moment (μB per atom) = 0.00

abc: 13.277 5.806 9.181
angles: 90.00 133.59 90.00
Space group C2/m (No. 12)
Inequivalent atoms, fractional coordinates:
Ba1 0.250 0.000 0.215 [4 per cell]
Bi1 0.000 0.500 0.000 [2 per cell]
Pd1 0.020 0.248 0.269 [8 per cell]
Pd2 0.249 0.000 0.592 [4 per cell]
Pb1 0.000 0.000 0.500 [2 per cell]